Material: Sb2TeSeN
Method: DFT, PBE-GGA
State: optimized geometry

Unit cell a=5.4364 b=5.4364 c=5.3690 alpha=90.00 beta=90.00 gamma=90.00
Closest atoms and distances in Å follow each position.
Element x y z (fractional)
Sb: 0.0000 0.5000 0.0000  2 Se 2.72
Sb: 0.5000 0.0000 0.0000  2 Se 2.72
Te: 0.0000 0.0000 0.5000  2 Se 2.68
Se: 0.0000 0.0000 0.0000  2 Te 2.68, 4 Sb 2.72
N: 0.5000 0.5000 0.5000  8 Sb 3.82, 4 Te 3.84

## Properties
Crystal system: tetragonal
E_form (uncorrected): 1.82 eV per atom
Space-group type: No. 123
Energy relative to the lowest polymorph listed for this composition: 1116.2 meV per atom

=====

Material: Th6In2Pd
Method: DFT, PBE-GGA
State: optimized geometry

Unit cell a=8.9888 b=8.9888 c=3.7747 alpha=90.00 beta=90.00 gamma=120.00
Closest atoms and distances in Å follow each position.
Element x y z (fractional)
Th: 0.0000 0.2571 0.0000  2 Pd 2.98
Th: 0.0000 0.5951 0.5000  4 In 3.32, 6 Th 3.58-3.71, 1 Pd 3.64
Th: 0.2571 0.0000 0.0000  2 Pd 2.98
Th: 0.4049 0.4049 0.5000  4 In 3.32, 6 Th 3.58-3.71, 1 Pd 3.64
Th: 0.5951 0.0000 0.5000  4 In 3.32, 6 Th 3.58-3.71, 1 Pd 3.64
Th: 0.7429 0.7429 0.0000  2 Pd 2.98
In: 0.3333 0.6667 0.0000  9 Th 3.32-3.39
In: 0.6667 0.3333 0.0000  9 Th 3.32-3.39
Pd: 0.0000 0.0000 0.5000  6 Th 2.98

## Properties
Crystal system: hexagonal
ΔH_f (0 K): -297.8 meV/atom
Space-group type: No. 189

=====

Material: LiTlRu2
Method: DFT, PBE-GGA
State: optimized geometry

Unit cell a=9.8114 b=9.8114 c=9.8114 alpha=157.17 beta=157.17 gamma=32.51
Closest atoms and distances in Å follow each position.
Element x y z (fractional)
Li: 0.0000 0.0000 0.0000  4 Ru 2.63, 4 Tl 2.75
Li: 0.7500 0.2500 0.5000  4 Ru 2.63, 4 Tl 2.75
Tl: 0.2500 0.7500 0.5000  4 Li 2.75, 4 Ru 2.85
Tl: 0.5000 0.5000 0.0000  4 Li 2.75, 4 Ru 2.85
Ru: 0.0436 0.6250 0.9186  2 Ru 2.34
Ru: 0.3750 0.2936 0.4186  2 Ru 2.34
Ru: 0.7064 0.1250 0.0814  2 Ru 2.34
Ru: 0.8750 0.9564 0.5814  2 Ru 2.34

## Properties
Crystal system: tetragonal
ΔH_f (0 K): 549.9 meV/atom
Space-group type: No. 122
Energy relative to the lowest polymorph listed for this composition: 319.5 meV per atom

=====

Material: MgTaSn2
Method: DFT, PBE-GGA
State: optimized geometry

Unit cell a=6.3532 b=6.3532 c=6.3532 alpha=103.17 beta=103.17 gamma=122.98
Closest atoms and distances in Å follow each position.
Element x y z (fractional)
Mg: 0.0000 0.0000 0.0000  4 Sn 2.95, 2 Ta 3.03
Mg: 0.7500 0.2500 0.5000  4 Sn 2.95, 2 Ta 3.03
Ta: 0.2500 0.7500 0.5000  4 Sn 2.83, 2 Mg 3.03
Ta: 0.5000 0.5000 0.0000  4 Sn 2.83, 2 Mg 3.03
Sn: 0.1361 0.6250 0.0111  2 Ta 2.83, 2 Mg 2.95, 2 Sn 3.04
Sn: 0.3750 0.3861 0.5111  2 Ta 2.83, 2 Mg 2.95, 2 Sn 3.04
Sn: 0.6139 0.1250 0.9889  2 Ta 2.83, 2 Mg 2.95, 2 Sn 3.04
Sn: 0.8750 0.8639 0.4889  2 Ta 2.83, 2 Mg 2.95, 2 Sn 3.04

## Properties
Crystal system: tetragonal
ΔH_f (0 K): 481.0 meV/atom
Space-group type: No. 122

=====

Material: CdGa2P
Method: DFT, PBE-GGA
State: optimized geometry

Unit cell a=8.3470 b=8.3470 c=8.3470 alpha=25.09 beta=25.09 gamma=25.09
Closest atoms and distances in Å follow each position.
Element x y z (fractional)
Cd: 0.0000 0.0000 0.0000  2 Ga 2.65
Ga: 0.1095 0.1095 0.1095  3 P 2.51, 1 Cd 2.65
Ga: 0.8905 0.8905 0.8905  3 P 2.51, 1 Cd 2.65
P: 0.5000 0.5000 0.5000  6 Ga 2.51

## Properties
Crystal system: trigonal
ΔH_f (0 K): 17.9 meV/atom
Space-group type: No. 166
Energy relative to the lowest polymorph listed for this composition: 0.0 meV per atom

=====

Material: La2CuHgH
Method: DFT, PBE-GGA
State: optimized geometry

Unit cell a=5.2438 b=5.2438 c=4.0027 alpha=90.00 beta=90.00 gamma=90.00
Closest atoms and distances in Å follow each position.
Element x y z (fractional)
La: 0.0000 0.5000 0.0000  2 H 2.62
La: 0.5000 0.0000 0.0000  2 H 2.62
Cu: 0.0000 0.0000 0.5000  2 H 2.00
Hg: 0.5000 0.5000 0.5000  8 La 3.30
H: 0.0000 0.0000 0.0000  2 Cu 2.00

## Properties
Crystal system: tetragonal
VASP energy: -3.85 eV per atom
Space-group type: No. 123

=====

Material: AcPr2Co
Method: DFT, PBE-GGA
State: optimized geometry

Unit cell a=3.6259 b=3.6259 c=9.4680 alpha=90.00 beta=90.00 gamma=90.00
Closest atoms and distances in Å follow each position.
Element x y z (fractional)
Ac: 0.0000 0.0000 0.0000  4 Ac 3.63, 8 Pr 4.01
Pr: 0.5000 0.5000 0.3253  4 Co 3.05, 1 Pr 3.31
Pr: 0.5000 0.5000 0.6747  4 Co 3.05, 1 Pr 3.31
Co: 0.0000 0.0000 0.5000  8 Pr 3.05

## Properties
Crystal system: tetragonal
ΔH_f (0 K): 86.1 meV/atom
Space-group type: No. 123
Energy relative to the lowest polymorph listed for this composition: 123.2 meV per atom

=====

Material: Er4HgPd2Pt
Method: DFT, PBE-GGA
State: optimized geometry

Unit cell a=8.6216 b=8.6216 c=8.6216 alpha=33.66 beta=33.66 gamma=33.66
Closest atoms and distances in Å follow each position.
Element x y z (fractional)
Er: 0.1195 0.1195 0.1195  1 Pt 2.91, 4 Pd 2.98-3.08, 3 Hg 3.10
Er: 0.3702 0.3702 0.3702  3 Pt 3.02, 4 Pd 3.04-3.14, 1 Hg 3.16
Er: 0.6298 0.6298 0.6298  3 Pt 3.02, 4 Pd 3.04-3.14, 1 Hg 3.16
Er: 0.8805 0.8805 0.8805  1 Pt 2.91, 4 Pd 2.98-3.08, 3 Hg 3.10
Hg: 0.5000 0.5000 0.5000  8 Er 3.10-3.16, 6 Pd 3.47
Pd: 0.2457 0.2457 0.2457  8 Er 2.98-3.14
Pd: 0.7543 0.7543 0.7543  8 Er 2.98-3.14
Pt: 0.0000 0.0000 0.0000  8 Er 2.91-3.02

## Properties
Crystal system: trigonal
ΔH_f (0 K): -898.1 meV/atom
Space-group type: No. 166

=====

Material: PuFe3Ge3
Method: DFT, PBE-GGA
State: optimized geometry

Unit cell a=6.4983 b=6.4983 c=6.4983 alpha=90.00 beta=90.00 gamma=90.00
Closest atoms and distances in Å follow each position.
Element x y z (fractional)
Pu: 0.0000 0.0000 0.0000  12 Ge 3.63, 12 Fe 3.63
Pu: 0.5000 0.5000 0.5000  12 Ge 3.63, 12 Fe 3.63
Fe: 0.0000 0.2500 0.5000  4 Ge 2.30
Fe: 0.0000 0.7500 0.5000  4 Ge 2.30
Fe: 0.2500 0.5000 0.0000  4 Ge 2.30
Fe: 0.5000 0.0000 0.2500  4 Ge 2.30
Fe: 0.5000 0.0000 0.7500  4 Ge 2.30
Fe: 0.7500 0.5000 0.0000  4 Ge 2.30
Ge: 0.0000 0.5000 0.2500  4 Fe 2.30
Ge: 0.0000 0.5000 0.7500  4 Fe 2.30
Ge: 0.2500 0.0000 0.5000  4 Fe 2.30
Ge: 0.5000 0.2500 0.0000  4 Fe 2.30
Ge: 0.5000 0.7500 0.0000  4 Fe 2.30
Ge: 0.7500 0.0000 0.5000  4 Fe 2.30

## Properties
Crystal system: cubic
ΔH_f (0 K): 308.5 meV/atom
Space-group type: No. 223
Energy relative to the lowest polymorph listed for this composition: 447.5 meV per atom

=====

Material: SmMg12Rh6
Method: DFT, PBE-GGA
State: optimized geometry

Unit cell a=7.4832 b=7.4832 c=7.4832 alpha=103.90 beta=103.90 gamma=103.90
Closest atoms and distances in Å follow each position.
Element x y z (fractional)
Sm: 0.0000 0.0000 0.0000  18 Mg 3.73-4.00, 6 Rh 3.79
Mg: 0.1194 0.5000 0.8806  4 Rh 2.56-2.62, 1 Mg 2.81
Mg: 0.1194 0.8806 0.5000  4 Rh 2.56-2.62, 1 Mg 2.81
Mg: 0.1703 0.4375 0.4375  3 Rh 2.66-2.71
Mg: 0.4375 0.1703 0.4375  3 Rh 2.66-2.71
Mg: 0.4375 0.4375 0.1703  3 Rh 2.66-2.71
Mg: 0.5000 0.1194 0.8806  4 Rh 2.56-2.62, 1 Mg 2.81
Mg: 0.5000 0.8806 0.1194  4 Rh 2.56-2.62, 1 Mg 2.81
Mg: 0.5625 0.5625 0.8297  3 Rh 2.66-2.71
Mg: 0.5625 0.8297 0.5625  3 Rh 2.66-2.71
Mg: 0.8297 0.5625 0.5625  3 Rh 2.66-2.71
Mg: 0.8806 0.1194 0.5000  4 Rh 2.56-2.62, 1 Mg 2.81
Mg: 0.8806 0.5000 0.1194  4 Rh 2.56-2.62, 1 Mg 2.81
Rh: 0.2503 0.2503 0.7008  7 Mg 2.56-2.71
Rh: 0.2503 0.7008 0.2503  7 Mg 2.56-2.71
Rh: 0.2992 0.7497 0.7497  7 Mg 2.56-2.71
Rh: 0.7008 0.2503 0.2503  7 Mg 2.56-2.71
Rh: 0.7497 0.2992 0.7497  7 Mg 2.56-2.71
Rh: 0.7497 0.7497 0.2992  7 Mg 2.56-2.71

## Properties
Crystal system: trigonal
ΔH_f (0 K): -249.4 meV/atom
Space-group type: No. 166

=====

Material: TbThFeRu
Method: DFT, PBE-GGA
State: optimized geometry

Unit cell a=4.9061 b=4.9061 c=4.9061 alpha=60.00 beta=60.00 gamma=60.00
Closest atoms and distances in Å follow each position.
Element x y z (fractional)
Tb: 0.0000 0.0000 0.0000  4 Fe 3.00, 4 Ru 3.00
Th: 0.5000 0.5000 0.5000  4 Fe 3.00, 4 Ru 3.00
Fe: 0.7500 0.7500 0.7500  4 Tb 3.00, 4 Th 3.00
Ru: 0.2500 0.2500 0.2500  4 Tb 3.00, 4 Th 3.00

## Properties
Crystal system: cubic
ΔH_f (0 K): -124.5 meV/atom
Space-group type: No. 216

=====

Material: CoSiRu
Method: DFT, PBE-GGA
State: optimized geometry

Unit cell a=4.9048 b=4.9048 c=4.9048 alpha=146.24 beta=146.24 gamma=48.49
Closest atoms and distances in Å follow each position.
Element x y z (fractional)
Co: 0.0000 0.0000 0.0000  4 Si 2.39, 4 Ru 2.67
Si: 0.3564 0.3564 0.0000  4 Co 2.39, 4 Ru 2.48
Ru: 0.6954 0.6954 0.0000  4 Si 2.48, 5 Co 2.67-2.72

## Properties
Crystal system: tetragonal
E_form (uncorrected): -0.31 eV per atom
Space-group type: No. 107

=====

no.,magnetization (μB/f.u.)
1,0.1
2,0.0
3,0.0
4,0.0
5,0.0
6,0.3
7,0.9
8,0.0
9,11.5
10,0.0
11,1.5
12,1.5